Density functional theory data (GGA-PBE) for a relaxed structure of AcCuBiIr.

- Space group: F-43m (216)
- Calculated formation energy: -2.4 kcal/mol of atoms
- Magnetization: 0.00 Bohr magnetons per cell

Cell lengths 7.190, 7.190, 7.190 Å; angles 90.00, 90.00, 90.00 degrees
Sites, in units of the cell vectors:
Ac 0.000 0.000 0.000
Ac 0.000 0.500 0.500
Ac 0.500 0.000 0.500
Ac 0.500 0.500 0.000
Cu 0.250 0.250 0.750
Cu 0.250 0.750 0.250
Cu 0.750 0.250 0.250
Cu 0.750 0.750 0.750
Bi 0.000 0.000 0.500
Bi 0.000 0.500 0.000
Bi 0.500 0.000 0.000
Bi 0.500 0.500 0.500
Ir 0.250 0.250 0.250
Ir 0.250 0.750 0.750
Ir 0.750 0.250 0.750
Ir 0.750 0.750 0.250

=====

Density functional theory data (GGA-PBE) for a relaxed structure of InHPd3.

- Space group: P6_3/mmc (194)
- Polymorph energy (0 for the lowest one): 297.0 meV per atom
- Magnetization: 0.00 Bohr magnetons per cell

Cell lengths 4.538, 4.538, 8.034 Å; angles 90.00, 90.00, 120.00 degrees
Sites, in units of the cell vectors:
In 0.333 0.667 0.250
In 0.667 0.333 0.750
H 0.000 0.000 0.000
H 0.000 0.000 0.500
Pd 0.000 0.000 0.250
Pd 0.000 0.000 0.750
Pd 0.333 0.667 0.578
Pd 0.333 0.667 0.922
Pd 0.667 0.333 0.078
Pd 0.667 0.333 0.422

=====

Density functional theory data (GGA-PBE) for a relaxed structure of Li3Ga2Rh2.

- Space group: C2/m (12)
- Calculated formation energy: -11.2 kcal/mol of atoms
- Magnetization: 0.00 Bohr magnetons per cell

Cell lengths 7.353, 4.248, 6.646 Å; angles 90.00, 111.74, 90.00 degrees
Sites, in units of the cell vectors:
Li 0.000 0.000 0.000
Li 0.144 0.000 0.433
Li 0.356 0.500 0.567
Li 0.500 0.500 0.000
Li 0.644 0.500 0.433
Li 0.856 0.000 0.567
Ga 0.218 0.500 0.155
Ga 0.282 0.000 0.845
Ga 0.718 0.000 0.155
Ga 0.782 0.500 0.845
Rh 0.078 0.500 0.736
Rh 0.422 0.000 0.264
Rh 0.578 0.000 0.736
Rh 0.922 0.500 0.264

=====

Density functional theory data (GGA-PBE) for a relaxed structure of CaAl3AgPd.

- Space group: Cmcm (63)
- Calculated formation energy: -8.6 kcal/mol of atoms
- Magnetization: 0.00 Bohr magnetons per cell

Cell lengths 7.268, 7.268, 5.788 Å; angles 90.00, 90.00, 130.00 degrees
Sites, in units of the cell vectors:
Ca 0.209 0.791 0.750
Ca 0.791 0.209 0.250
Al 0.214 0.214 0.000
Al 0.214 0.214 0.500
Al 0.368 0.632 0.250
Al 0.632 0.368 0.750
Al 0.786 0.786 0.000
Al 0.786 0.786 0.500
Ag 0.157 0.843 0.250
Ag 0.843 0.157 0.750
Pd 0.417 0.583 0.750
Pd 0.583 0.417 0.250

=====

Density functional theory data (GGA-PBE) for a relaxed structure of Cs2TlCoSn.

- Space group: P4/mmm (123)
- Calculated formation energy: 17.5 kcal/mol of atoms
- Magnetization: 2.22 Bohr magnetons per cell

Cell lengths 7.516, 7.516, 5.804 Å; angles 90.00, 90.00, 90.00 degrees
Sites, in units of the cell vectors:
Cs 0.000 0.500 0.000
Cs 0.500 0.000 0.000
Tl 0.000 0.000 0.500
Co 0.500 0.500 0.500
Sn 0.000 0.000 0.000

=====

Density functional theory data (GGA-PBE) for a relaxed structure of Sr2ReP.

- Space group: P4mm (99)
- Calculated formation energy: 0.4 kcal/mol of atoms
- Magnetization: 0.00 Bohr magnetons per cell

Cell lengths 3.330, 3.330, 9.124 Å; angles 90.00, 90.00, 90.00 degrees
Sites, in units of the cell vectors:
Sr 0.000 0.000 0.000
Sr 0.500 0.500 0.412
Re 0.500 0.500 0.747
P 0.000 0.000 0.647

=====

Density functional theory data (GGA-PBE) for a relaxed structure of Ni4HgW.

- Space group: F-43m (216)
- Calculated formation energy: 4.8 kcal/mol of atoms
- Magnetization: 0.49 Bohr magnetons per cell

Cell lengths 4.790, 4.790, 4.790 Å; angles 60.00, 60.00, 60.00 degrees
Sites, in units of the cell vectors:
Ni 0.376 0.376 0.376
Ni 0.376 0.376 0.873
Ni 0.376 0.873 0.376
Ni 0.873 0.376 0.376
Hg 0.000 0.000 0.000
W 0.750 0.750 0.750

=====

Density functional theory data (GGA-PBE) for a relaxed structure of Nd2ZrAu.

- Space group: P4/mmm (123)
- Calculated formation energy: -6.3 kcal/mol of atoms
- Magnetization: 0.00 Bohr magnetons per cell

Cell lengths 3.571, 3.571, 8.568 Å; angles 90.00, 90.00, 90.00 degrees
Sites, in units of the cell vectors:
Nd 0.000 0.000 0.230
Nd 0.000 0.000 0.770
Zr 0.500 0.500 0.500
Au 0.500 0.500 0.000

=====

Number 2 is which compound? InHPd3

=====

magnetization of number 6 (Sr2ReP)? 0.00 Bohr magnetons per cell

=====

Which value of magnetization does entry 6 give? 0.00 Bohr magnetons per cell